The following is a PBE-GGA calculation of a relaxed In2NiSe crystal, from Alexandria.

Mass density in g cm⁻³: 7.2
Raw formation energy in eV/atom: 0.263

Cell lengths 6.9674, 6.9674, 6.9674 Å; angles 90.00, 90.00, 90.00 degrees
Closest atoms and distances in Å follow each position.
Space group F-43m (No. 216)
One atom of each set of equivalent atoms:
In1 0.0000 0.0000 0.0000 (multiplicity 4)  4 In 3.02, 4 Ni 3.02
In2 0.2500 0.2500 0.2500 (multiplicity 4)  4 In 3.02, 4 Se 3.02
Ni1 0.2500 0.2500 0.7500 (multiplicity 4)  4 In 3.02, 4 Se 3.02
Se1 0.0000 0.0000 0.5000 (multiplicity 4)  4 In 3.02, 4 Ni 3.02